[1]
This record from Alexandria describes a relaxed NiTe2Br crystal. The functional is PBE-GGA.

## Properties
crystal system = monoclinic
energy = -0.258 Ry/atom

Geometry as POSCAR:
```
NiTe2Br
1.0
-10.0377 12.2755 -8.7084
2.5163 -1.2756 -4.6985
0.1959 -8.1089 2.3064
Ni Te Br
4 8 4
direct
0.7483 0.8145 0.9218
0.7517 0.3145 0.5782
0.2517 0.1855 0.0782
0.2483 0.6855 0.4218
0.8481 0.1296 0.2575
0.6519 0.6296 0.2425
0.6494 0.5030 0.9203
0.3506 0.4970 0.0797
0.1494 0.9970 0.4203
0.8506 0.0030 0.5797
0.3481 0.3704 0.7575
0.1519 0.8704 0.7425
0.3718 0.9386 0.4616
0.6282 0.0614 0.5384
0.1282 0.4386 0.0384
0.8718 0.5614 0.9616
```

***

[2]
This record from Alexandria describes a relaxed NiTe2Br crystal. The functional is PBE-GGA.

## Properties
crystal system = trigonal
energy = -0.228 Ry/atom

Geometry as POSCAR:
```
NiTe2Br
1.0
1.8345 0.0000 12.2011
-0.9173 1.5887 12.2011
-0.9173 -1.5887 12.2011
Ni Te Br
1 2 1
direct
0.0000 0.0000 0.0000
0.0671 0.0671 0.0671
0.9329 0.9329 0.9329
0.5000 0.5000 0.5000
```

***

[3]
This record from Alexandria describes a relaxed NiTe2Br crystal. The functional is PBE-GGA.

## Properties
crystal system = trigonal
energy = -0.248 Ry/atom

Geometry as POSCAR:
```
NiTe2Br
1.0
2.0729 0.0000 9.3291
-1.0364 1.7952 9.3291
-1.0364 -1.7952 9.3291
Ni Te Br
1 2 1
direct
0.4437 0.4437 0.4437
0.1646 0.1646 0.1646
0.5886 0.5886 0.5886
0.0540 0.0540 0.0540
```

***

[4]
This record from Alexandria describes a relaxed NiTe2Br crystal. The functional is PBE-GGA.

## Properties
crystal system = orthorhombic
energy = -0.248 Ry/atom

Geometry as POSCAR:
```
NiTe2Br
1.0
3.5019 0.0111 0.0000
-1.0447 3.3425 0.0000
0.0000 0.0000 8.1525
Te Br Ni
2 1 1
direct
0.0000 0.0000 0.9360
0.0000 0.0000 0.5641
0.5000 0.5000 0.2500
0.5000 0.5000 0.7500
```

***

[5]
This record from Alexandria describes a relaxed NiTe2Br crystal. The functional is PBE-GGA.

## Properties
crystal system = orthorhombic
energy = -0.244 Ry/atom

Geometry as POSCAR:
```
NiTe2Br
1.0
-2.2663 -1.7519 2.1035
-0.3358 -0.2613 -3.5283
5.8967 -7.6240 0.0035
Br Te Ni
1 2 1
direct
0.0000 0.0000 0.5912
0.0000 0.0000 0.9292
0.5000 0.5000 0.2227
0.5000 0.5000 0.7569
```

***

[6]
This record from Alexandria describes a relaxed NiTeBr crystal. The functional is PBE-GGA.

## Properties
crystal system = monoclinic
energy = -0.277 Ry/atom

Geometry as POSCAR:
```
NiTeBr
1.0
3.5481 0.0000 0.0000
0.0000 9.5571 -1.3797
-1.7740 -4.7089 5.6799
Ni Br Te
2 2 2
direct
0.1090 0.4152 0.2179
0.8910 0.5848 0.7821
0.5559 0.8035 0.1118
0.4441 0.1965 0.8882
0.7636 0.6739 0.5272
0.2364 0.3261 0.4728
```

***

[7]
This record from Alexandria describes a relaxed NiTe2Br crystal. The functional is PBE-GGA.

## Properties
crystal system = triclinic
energy = -0.267 Ry/atom

Geometry as POSCAR:
```
NiTe2Br
1.0
-2.3469 -5.8802 3.2273
4.4215 -2.2028 -0.3818
1.0538 1.0273 6.6185
Te Ni Br
4 2 2
direct
0.7483 0.9575 0.7838
0.9102 0.4795 0.5271
0.3349 0.9352 0.5170
0.3234 0.5017 0.7940
0.6067 0.2235 0.5416
0.0516 0.2136 0.7694
0.0871 0.0188 0.0859
0.5710 0.4181 0.2251
```

***

[8]
This record from Alexandria describes a relaxed NiTe2Br crystal. The functional is PBE-GGA.

## Properties
crystal system = tetragonal
energy = -0.250 Ry/atom

Geometry as POSCAR:
```
NiTe2Br
1.0
-2.8768 -1.8931 -0.4736
1.9125 -2.5667 -1.3577
1.0243 -3.6381 8.3202
Br Te Ni
1 2 1
direct
0.0000 0.0000 0.5518
0.5000 0.5000 0.1925
0.0000 0.0000 0.8351
0.5000 0.5000 0.9207
```

***

[9]
This record from Alexandria describes a relaxed NiTe3Br crystal. The functional is PBE-GGA.

## Properties
crystal system = cubic
energy = -0.227 Ry/atom
excess energy over the best structure of this formula in the dataset = 458 meV per atom

Geometry as POSCAR:
```
NiTe3Br
1.0
-0.9014 -4.0015 -2.9875
3.8871 1.3435 -2.9724
3.1349 -2.8165 2.8265
Ni Br Te
1 1 3
direct
0.0000 0.0000 0.0000
0.5000 0.5000 0.5000
0.0000 0.0000 0.5000
0.5000 0.0000 0.0000
0.0000 0.5000 0.0000
```

***

[10]
This record from Alexandria describes a relaxed Ni2Te2Br crystal. The functional is PBE-GGA.

## Properties
crystal system = tetragonal
energy = -0.300 Ry/atom

Geometry as POSCAR:
```
Ni2Te2Br
1.0
-1.9014 3.2636 -0.5130
-0.5464 -0.8945 -3.6648
-7.8665 -2.3925 -0.2255
Ni Br Te
2 1 2
direct
0.2500 0.7500 0.5000
0.7500 0.2500 0.5000
0.0000 0.0000 0.0000
0.6443 0.6443 0.7114
0.3557 0.3557 0.2886
```

***

[11]
This record from Alexandria describes a relaxed NiTe2Br crystal. The functional is PBE-GGA.

## Properties
crystal system = orthorhombic
energy = -0.257 Ry/atom

Geometry as POSCAR:
```
NiTe2Br
1.0
7.0665 0.0632 0.0309
3.9486 5.8607 -0.0309
-4.8090 -4.2608 2.9426
Ni Br Te
1 1 2
direct
0.7342 0.2342 0.5000
0.5990 0.5990 0.0000
0.2894 0.7894 0.5000
0.8774 0.8774 0.0000
```

***

[12]
This record from Alexandria describes a relaxed NiTeBr crystal. The functional is PBE-GGA.

## Properties
crystal system = orthorhombic
energy = -0.266 Ry/atom

Geometry as POSCAR:
```
NiTeBr
1.0
8.1784 0.0403 -0.0234
6.7129 3.6109 -0.0749
1.4655 -1.8136 3.0761
Ni Te Br
1 1 1
direct
0.3352 0.3352 0.6648
0.7208 0.7208 0.2792
0.9440 0.9440 0.0560
```

***

Q: Which formula does entry 12 have?
A: NiTeBr